(P)
9
Lattice="-4.122 0.401 0.779 -1.371 -2.896 5.623 -0.988 5.445 3.355" Properties=species:S:1:pos:R:3 comment="Cd4PdPt4 (PBE, relaxed)" total_magnetization_mub_per_fu=0.0 space_group="No. 139" pbc="T T T"
Pt -3.661 -1.669 4.279
Pt -2.821 4.619 5.478
Pt -3.077 -0.958 6.994
Pt -3.405 3.908 2.763
Pd 0.000 0.000 0.000
Cd -2.916 1.869 6.385
Cd -1.250 -0.259 4.905
Cd -5.231 3.209 4.852
Cd -3.565 1.081 3.372

***

(Q)
18
Lattice="-0.679 -4.762 3.701 0.603 -3.759 -4.726 9.414 -0.253 1.403" Properties=species:S:1:pos:R:3 comment="Cd4PdPt4 (PBE, relaxed)" total_magnetization_mub_per_fu=0.0 space_group="No. 137" pbc="T T T"
Cd 1.976 -3.649 3.155
Cd 7.380 -3.014 -2.524
Cd 2.013 -5.499 0.734
Cd 7.076 -1.117 -0.138
Cd 7.007 -3.523 1.729
Cd 2.350 -3.141 -1.098
Cd 2.319 -1.246 1.287
Cd 7.305 -5.384 -0.611
Pt 0.386 -3.210 0.917
Pt 4.283 -1.177 -0.728
Pt 0.728 -5.343 -1.765
Pt 8.588 -5.848 1.851
Pt 8.973 -3.146 -0.248
Pt 4.544 -2.803 -2.773
Pt 5.109 -1.493 1.840
Pt 4.815 -3.553 3.441
Pd 4.669 -4.387 0.189
Pd 0.000 0.000 0.000

***

Decreasing stability: (P), (Q)

***

(P)
15
Lattice="-4.897 -0.886 -4.748 -6.558 -0.767 1.925 -4.598 5.365 -1.241" Properties=species:S:1:pos:R:3 comment="CdPd6Pt8 (PBE, relaxed)" total_magnetization_mub_per_fu=0.0 space_group="No. 148" pbc="T T T"
Pt -9.512 0.608 -1.774
Pt -9.142 2.705 -3.397
Pt -6.542 3.104 -2.289
Pt -11.837 1.241 -2.969
Pt -6.911 1.007 -0.667
Pt -7.244 0.820 -3.496
Pt -8.809 2.892 -0.568
Pt -4.217 2.471 -1.094
Pd -4.914 0.048 -2.220
Pd -11.139 3.664 -1.843
Pd -2.356 0.435 -1.233
Pd -4.498 0.241 0.510
Pd -11.555 3.471 -4.574
Pd -13.697 3.277 -2.830
Cd 0.000 0.000 0.000

***

(Q)
15
Lattice="-1.817 1.849 -0.885 -5.026 -0.625 9.016 7.608 6.899 -1.212" Properties=species:S:1:pos:R:3 comment="CdPd6Pt8 (PBE, relaxed)" total_magnetization_mub_per_fu=0.0 space_group="No. 147" pbc="T T T"
Pd 1.762 4.461 -0.337
Pd -2.970 0.793 5.316
Pd -0.997 3.662 7.257
Pd -0.047 2.791 3.485
Pd 3.735 7.329 1.605
Pd 0.811 5.332 3.435
Pt -0.347 3.328 0.794
Pt 1.112 4.795 6.126
Pt 1.941 7.410 4.623
Pt -3.413 1.193 7.895
Pt 4.178 6.929 -0.975
Pt -2.239 3.332 4.914
Pt -1.177 0.712 2.297
Pt 3.004 4.791 2.007
Cd -0.909 0.924 -0.442

***

Decreasing stability: (P), (Q)

***

(P)
5
Lattice="-1.260 3.017 -1.885 -2.889 0.299 2.410 5.779 2.354 3.682" Properties=species:S:1:pos:R:3 comment="CdPdPt3 (PBE, relaxed)" total_magnetization_mub_per_fu=0.0 space_group="No. 107" pbc="T T T"
Pt 1.484 3.798 1.308
Pt 0.669 2.439 3.455
Pt 3.195 3.460 3.401
Pd 1.347 5.363 3.904
Cd -1.135 2.675 1.262

***

(Q)
5
Lattice="-2.605 -1.652 -3.747 3.507 -3.192 -1.032 -2.113 -3.262 2.907" Properties=species:S:1:pos:R:3 comment="CdPdPt3 (PBE, relaxed)" total_magnetization_mub_per_fu=0.0 space_group="No. 221" pbc="T T T"
Pt -1.056 -1.631 1.454
Pt 1.754 -1.596 -0.516
Pt -1.303 -0.826 -1.873
Cd -0.605 -4.053 -0.936
Pd 0.000 0.000 0.000

***

Decreasing stability: (P), (Q)

***

(P)
5
Lattice="-3.809 3.049 -0.530 -3.092 -3.716 0.844 0.123 0.989 4.805" Properties=species:S:1:pos:R:3 comment="CdPdPt3 (PBE, relaxed)" total_magnetization_mub_per_fu=0.0 space_group="No. 221" pbc="T T T"
Pt -1.546 -1.858 0.422
Pt 0.061 0.495 2.403
Pt -1.904 1.525 -0.265
Cd 0.000 0.000 0.000
Pd -3.389 0.161 2.559

***

(Q)
20
Lattice="-2.630 1.288 2.673 -4.266 -1.206 -3.617 -0.906 -13.210 5.474" Properties=species:S:1:pos:R:3 comment="CdPdPt3 (PBE, relaxed)" total_magnetization_mub_per_fu=0.0 space_group="No. 62" pbc="T T T"
Pd -5.779 -0.751 -0.914
Pd -2.023 -12.377 5.444
Pd -3.793 -7.681 1.440
Pd -4.010 -5.446 3.090
Pt -3.952 -10.328 2.559
Pt -5.984 -3.410 0.166
Pt -4.113 -8.055 4.245
Pt -1.374 -1.819 0.995
Pt -3.689 -5.073 0.285
Pt -4.194 -12.978 3.598
Pt -6.428 -11.308 3.535
Pt -6.103 -6.025 1.309
Pt -1.699 -7.103 3.221
Pt -1.818 -9.718 4.364
Pt -3.608 -0.150 0.932
Pt -3.850 -2.800 1.971
Cd -4.291 -10.726 5.357
Cd -3.511 -2.402 -0.827
Cd -1.563 -4.494 2.098
Cd -6.240 -8.634 2.432

***

Decreasing stability: (Q), (P)

***

(P)
7
Lattice="-2.628 1.810 -2.297 -2.295 -3.191 0.111 -3.620 2.826 6.369" Properties=species:S:1:pos:R:3 comment="CdPdPt5 (PBE, relaxed)" total_magnetization_mub_per_fu=0.0 space_group="No. 123" pbc="T T T"
Pt -3.800 0.476 4.723
Pt -2.281 1.660 0.553
Pt -2.462 -0.690 -1.093
Pt -3.967 2.976 3.519
Pt -2.115 -0.840 1.757
Pd -1.810 1.413 3.185
Cd 0.000 0.000 0.000

***

(Q)
7
Lattice="-4.123 -1.753 2.724 2.016 -6.789 -1.317 3.467 4.278 2.955" Properties=species:S:1:pos:R:3 comment="CdPdPt5 (PBE, relaxed)" total_magnetization_mub_per_fu=0.0 space_group="No. 44" pbc="T T T"
Pt -2.749 -4.992 1.824
Pt -0.751 -4.669 3.221
Pt 1.306 -5.741 -0.851
Pt 0.002 -1.349 0.001
Pt 0.219 -0.399 2.391
Pd -2.385 -1.014 1.575
Cd -0.684 -4.114 0.459

***

Decreasing stability: (P), (Q)